Entry 1:
DFT (PBE) results for Na2Au after structural relaxation.

a b c (Å): 4.864 4.864 4.864
angles (deg): 60.00 60.00 60.00
Positions (direct):
Na1 0.250 0.250 0.250
Na2 0.750 0.750 0.750
Au1 0.000 0.000 0.000

Values from the calculation:
Symmetry = Fm-3m (225)
Total energy = -2.153 eV per atom

***

Entry 2:
DFT (PBE) results for NaNbAu after structural relaxation.

a b c (Å): 4.533 4.533 4.533
angles (deg): 60.00 60.00 60.00
Positions (direct):
Na1 0.000 0.000 0.000
Nb1 0.500 0.500 0.500
Au1 0.250 0.250 0.250

Values from the calculation:
Energy relative to the lowest polymorph listed for this composition = 0 meV per atom
Symmetry = F-43m (216)
Total energy = -4.232 eV per atom

***

Entry 3:
DFT (PBE) results for NaNbAuSeS2 after structural relaxation.

a b c (Å): 7.291 7.291 9.960
angles (deg): 90.00 90.00 151.92
Positions (direct):
Na1 0.241 0.759 0.750
Na2 0.759 0.241 0.250
Nb1 0.000 0.000 0.000
Nb2 0.000 0.000 0.500
Au1 0.437 0.563 0.250
Au2 0.563 0.437 0.750
Se1 0.089 0.911 0.250
Se2 0.911 0.089 0.750
S1 0.373 0.627 0.030
S2 0.373 0.627 0.470
S3 0.627 0.373 0.530
S4 0.627 0.373 0.970

Values from the calculation:
Symmetry = Cmcm (63)
Total energy = -5.017 eV per atom

***

Entry 4:
DFT (PBE) results for NaNbTeAuS2 after structural relaxation.

a b c (Å): 7.647 7.647 10.208
angles (deg): 90.00 90.00 153.26
Positions (direct):
Na1 0.217 0.783 0.750
Na2 0.783 0.217 0.250
Nb1 0.000 0.000 0.000
Nb2 0.000 0.000 0.500
Te1 0.103 0.897 0.250
Te2 0.897 0.103 0.750
Au1 0.451 0.549 0.250
Au2 0.549 0.451 0.750
S1 0.380 0.620 0.040
S2 0.380 0.620 0.460
S3 0.620 0.380 0.540
S4 0.620 0.380 0.960

Values from the calculation:
Symmetry = Cmcm (63)
Total energy = -4.900 eV per atom

***

Entry 5:
DFT (PBE) results for NaNbTeAuSe2 after structural relaxation.

a b c (Å): 7.628 7.628 10.420
angles (deg): 90.00 90.00 152.22
Positions (direct):
Na1 0.219 0.781 0.750
Na2 0.781 0.219 0.250
Nb1 0.000 0.000 0.000
Nb2 0.000 0.000 0.500
Te1 0.099 0.901 0.250
Te2 0.901 0.099 0.750
Au1 0.452 0.548 0.250
Au2 0.548 0.452 0.750
Se1 0.371 0.629 0.037
Se2 0.371 0.629 0.463
Se3 0.629 0.371 0.537
Se4 0.629 0.371 0.963

Values from the calculation:
Symmetry = Cmcm (63)
Total energy = -4.635 eV per atom

***

Entry 6:
DFT (PBE) results for NaNbTe3Au after structural relaxation.

a b c (Å): 7.756 7.756 10.773
angles (deg): 90.00 90.00 151.04
Positions (direct):
Na1 0.226 0.774 0.750
Na2 0.774 0.226 0.250
Nb1 0.000 0.000 0.000
Nb2 0.000 0.000 0.500
Te1 0.088 0.912 0.250
Te2 0.362 0.638 0.034
Te3 0.362 0.638 0.466
Te4 0.638 0.362 0.534
Te5 0.638 0.362 0.966
Te6 0.912 0.088 0.750
Au1 0.453 0.547 0.250
Au2 0.547 0.453 0.750

Values from the calculation:
Symmetry = Cmcm (63)
Total energy = -4.360 eV per atom

***

Entry 7:
DFT (PBE) results for NaNdAu after structural relaxation.

a b c (Å): 5.010 5.010 5.010
angles (deg): 60.00 60.00 60.00
Positions (direct):
Na1 0.000 0.000 0.000
Nd1 0.750 0.750 0.750
Au1 0.500 0.500 0.500

Values from the calculation:
Energy relative to the lowest polymorph listed for this composition = 376 meV per atom
Symmetry = F-43m (216)
Total energy = -3.047 eV per atom

***

Entry 8:
DFT (PBE) results for NaNdAu after structural relaxation.

a b c (Å): 4.989 4.989 4.989
angles (deg): 60.00 60.00 60.00
Positions (direct):
Na1 0.000 0.000 0.000
Nd1 0.500 0.500 0.500
Au1 0.250 0.250 0.250

Values from the calculation:
Energy relative to the lowest polymorph listed for this composition = 0 meV per atom
Symmetry = F-43m (216)
Total energy = -3.423 eV per atom

***

Look up the total energy of the second one. -4.232 eV per atom